Record 1
# MgHgW2, relaxed, DFT PBE
data_MgHgW2
_chemical_formula_sum 'Mg1 Hg1 W2'
_space_group_name_H-M_alt 'P 4 m m'
_space_group_IT_number 99
_cell_length_a 2.7847
_cell_length_b 2.7847
_cell_length_c 9.2022
_cell_angle_alpha 90.00
_cell_angle_beta 90.00
_cell_angle_gamma 90.00
loop_
_space_group_symop_operation_xyz
'x,y,z'
'-y,x,z'
'-x,-y,z'
'y,-x,z'
'-x,y,z'
'y,x,z'
'x,-y,z'
'-y,-x,z'
loop_
_atom_site_label
_atom_site_type_symbol
_atom_site_fract_x
_atom_site_fract_y
_atom_site_fract_z
Mg1 Mg 0.0000 0.0000 0.0000
Hg1 Hg 0.5000 0.5000 0.7404
W1 W 0.0000 0.0000 0.4857
W2 W 0.5000 0.5000 0.2406
# DOS(E_F), states/eV per atom: 0.57
# E_form, eV per atom: 0.5193
# Crystal system: tetragonal
# Polymorph energy (0 for the lowest one), eV/f.u.: 0.677

***

Record 2
# Mg2HgW, relaxed, DFT PBE
data_Mg2HgW
_chemical_formula_sum 'Mg2 Hg1 W1'
_space_group_name_H-M_alt 'P 1 2/m 1'
_space_group_IT_number 10
_cell_length_a 2.8832
_cell_length_b 4.7173
_cell_length_c 5.5579
_cell_angle_alpha 90.00
_cell_angle_beta 96.76
_cell_angle_gamma 90.00
loop_
_space_group_symop_operation_xyz
'x,y,z'
'-x,-y,-z'
'-x,y,-z'
'x,-y,z'
loop_
_atom_site_label
_atom_site_type_symbol
_atom_site_fract_x
_atom_site_fract_y
_atom_site_fract_z
Mg1 Mg 0.1942 0.0000 0.2315
Hg1 Hg 0.0000 0.5000 0.5000
W1 W 0.5000 0.5000 0.0000
# DOS(E_F), states/eV per atom: 0.61
# E_form, eV per atom: 0.4498
# Crystal system: monoclinic
# Polymorph energy (0 for the lowest one), eV/f.u.: 0.922

***

Record 3
# MgHgW2, relaxed, DFT PBE
data_MgHgW2
_chemical_formula_sum 'Mg1 Hg1 W2'
_space_group_name_H-M_alt 'P 4/m m m'
_space_group_IT_number 123
_space_group_name_Hall '-P 4 2'
_cell_length_a 3.5546
_cell_length_b 3.5546
_cell_length_c 5.6190
_cell_angle_alpha 90.00
_cell_angle_beta 90.00
_cell_angle_gamma 90.00
loop_
_atom_site_label
_atom_site_type_symbol
_atom_site_fract_x
_atom_site_fract_y
_atom_site_fract_z
Mg1 Mg 0.0000 0.0000 0.0000
Hg1 Hg 0.0000 0.0000 0.5000
W1 W 0.5000 0.5000 0.2216
# DOS(E_F), states/eV per atom: 0.65
# E_form, eV per atom: 0.9064
# Crystal system: tetragonal
# Polymorph energy (0 for the lowest one), eV/f.u.: 2.225

***

Record 4
# MgHg2W, relaxed, DFT PBE
data_MgHg2W
_chemical_formula_sum 'Mg1 Hg2 W1'
_space_group_name_H-M_alt 'P m m m'
_space_group_IT_number 47
_cell_length_a 2.8801
_cell_length_b 5.1269
_cell_length_c 5.5114
_cell_angle_alpha 90.00
_cell_angle_beta 90.00
_cell_angle_gamma 90.00
loop_
_space_group_symop_operation_xyz
'x,y,z'
'-x,-y,-z'
'-x,-y,z'
'x,y,-z'
'x,-y,-z'
'-x,y,z'
'-x,y,-z'
'x,-y,z'
loop_
_atom_site_label
_atom_site_type_symbol
_atom_site_fract_x
_atom_site_fract_y
_atom_site_fract_z
Mg1 Mg 0.0000 0.0000 0.0000
Hg1 Hg 0.0000 0.5000 0.5000
Hg2 Hg 0.5000 0.5000 0.0000
W1 W 0.5000 0.0000 0.5000
# DOS(E_F), states/eV per atom: 0.90
# E_form, eV per atom: 0.6557
# Crystal system: orthorhombic
# Polymorph energy (0 for the lowest one), eV/f.u.: 0.850

***

Record 5
# MgHg2W, relaxed, DFT PBE
data_MgHg2W
_chemical_formula_sum 'Mg4 Hg8 W4'
_space_group_name_H-M_alt 'F -4 3 m'
_space_group_IT_number 216
_space_group_name_Hall 'F -4 2 3'
_cell_length_a 6.8251
_cell_length_b 6.8251
_cell_length_c 6.8251
_cell_angle_alpha 90.00
_cell_angle_beta 90.00
_cell_angle_gamma 90.00
loop_
_atom_site_label
_atom_site_type_symbol
_atom_site_fract_x
_atom_site_fract_y
_atom_site_fract_z
Mg1 Mg 0.0000 0.0000 0.0000
Hg1 Hg 0.0000 0.0000 0.5000
Hg2 Hg 0.2500 0.2500 0.7500
W1 W 0.2500 0.2500 0.2500
# DOS(E_F), states/eV per atom: 0.54
# E_form, eV per atom: 0.8770
# Crystal system: cubic
# Polymorph energy (0 for the lowest one), eV/f.u.: 1.735

***

Record 6
# Mg2HgW, relaxed, DFT PBE
data_Mg2HgW
_chemical_formula_sum 'Mg2 Hg1 W1'
_space_group_name_H-M_alt 'P 4 m m'
_space_group_IT_number 99
_cell_length_a 2.8805
_cell_length_b 2.8805
_cell_length_c 9.2825
_cell_angle_alpha 90.00
_cell_angle_beta 90.00
_cell_angle_gamma 90.00
loop_
_space_group_symop_operation_xyz
'x,y,z'
'-y,x,z'
'-x,-y,z'
'y,-x,z'
'-x,y,z'
'y,x,z'
'x,-y,z'
'-y,-x,z'
loop_
_atom_site_label
_atom_site_type_symbol
_atom_site_fract_x
_atom_site_fract_y
_atom_site_fract_z
Mg1 Mg 0.0000 0.0000 0.0000
Mg2 Mg 0.5000 0.5000 0.2764
Hg1 Hg 0.5000 0.5000 0.7522
W1 W 0.0000 0.0000 0.5057
# DOS(E_F), states/eV per atom: 0.62
# E_form, eV per atom: 0.3828
# Crystal system: tetragonal
# Polymorph energy (0 for the lowest one), eV/f.u.: 0.654

***

Record 7
# Mg3HgW, relaxed, DFT PBE
data_Mg3HgW
_chemical_formula_sum 'Mg3 Hg1 W1'
_space_group_name_H-M_alt 'P m -3 m'
_space_group_IT_number 221
_space_group_name_Hall '-P 4 2 3'
_cell_length_a 5.3881
_cell_length_b 5.3881
_cell_length_c 5.3881
_cell_angle_alpha 90.00
_cell_angle_beta 90.00
_cell_angle_gamma 90.00
loop_
_atom_site_label
_atom_site_type_symbol
_atom_site_fract_x
_atom_site_fract_y
_atom_site_fract_z
Mg1 Mg 0.0000 0.0000 0.5000
Hg1 Hg 0.5000 0.5000 0.5000
W1 W 0.0000 0.0000 0.0000
# DOS(E_F), states/eV per atom: 0.75
# E_form, eV per atom: 1.1816
# Crystal system: cubic
# Polymorph energy (0 for the lowest one), eV/f.u.: 0.000

***

Record 8
# MgHgW, relaxed, DFT PBE
data_MgHgW
_chemical_formula_sum 'Mg4 Hg4 W4'
_space_group_name_H-M_alt 'F -4 3 m'
_space_group_IT_number 216
_space_group_name_Hall 'F -4 2 3'
_cell_length_a 6.5081
_cell_length_b 6.5081
_cell_length_c 6.5081
_cell_angle_alpha 90.00
_cell_angle_beta 90.00
_cell_angle_gamma 90.00
loop_
_atom_site_label
_atom_site_type_symbol
_atom_site_fract_x
_atom_site_fract_y
_atom_site_fract_z
Mg1 Mg 0.0000 0.0000 0.0000
Hg1 Hg 0.0000 0.0000 0.5000
W1 W 0.2500 0.2500 0.2500
# DOS(E_F), states/eV per atom: 1.73
# E_form, eV per atom: 1.3587
# Crystal system: cubic
# Polymorph energy (0 for the lowest one), eV/f.u.: 2.670

***

Record 9
# MgHgW2, relaxed, DFT PBE
data_MgHgW2
_chemical_formula_sum 'Mg4 Hg4 W8'
_space_group_name_H-M_alt 'F m -3 m'
_space_group_IT_number 225
_space_group_name_Hall '-F 4 2 3'
_cell_length_a 6.5299
_cell_length_b 6.5299
_cell_length_c 6.5299
_cell_angle_alpha 90.00
_cell_angle_beta 90.00
_cell_angle_gamma 90.00
loop_
_atom_site_label
_atom_site_type_symbol
_atom_site_fract_x
_atom_site_fract_y
_atom_site_fract_z
Mg1 Mg 0.0000 0.0000 0.0000
Hg1 Hg 0.0000 0.0000 0.5000
W1 W 0.2500 0.2500 0.2500
# DOS(E_F), states/eV per atom: 1.40
# E_form, eV per atom: 1.1351
# Crystal system: cubic
# Polymorph energy (0 for the lowest one), eV/f.u.: 3.140

***

Record 10
# MgZnHgW2, relaxed, DFT PBE
data_MgZnHgW2
_chemical_formula_sum 'Mg1 Zn1 Hg1 W2'
_space_group_name_H-M_alt 'P 4/m m m'
_space_group_IT_number 123
_space_group_name_Hall '-P 4 2'
_cell_length_a 4.7054
_cell_length_b 4.7054
_cell_length_c 4.7929
_cell_angle_alpha 90.00
_cell_angle_beta 90.00
_cell_angle_gamma 90.00
loop_
_atom_site_label
_atom_site_type_symbol
_atom_site_fract_x
_atom_site_fract_y
_atom_site_fract_z
Mg1 Mg 0.0000 0.0000 0.0000
Zn1 Zn 0.5000 0.5000 0.5000
Hg1 Hg 0.0000 0.0000 0.5000
W1 W 0.0000 0.5000 0.0000
# DOS(E_F), states/eV per atom: 0.95
# E_form, eV per atom: 2.2615
# Crystal system: tetragonal

***

Record 11
# YMg2Hg2, relaxed, DFT PBE
data_YMg2Hg2
_chemical_formula_sum 'Y2 Mg4 Hg4'
_space_group_name_H-M_alt 'P 1 21/m 1'
_space_group_IT_number 11
_cell_length_a 4.9889
_cell_length_b 3.6193
_cell_length_c 13.0795
_cell_angle_alpha 90.00
_cell_angle_beta 90.01
_cell_angle_gamma 90.00
loop_
_space_group_symop_operation_xyz
'x,y,z'
'-x,-y,-z'
'-x,y+1/2,-z'
'x,-y+1/2,z'
loop_
_atom_site_label
_atom_site_type_symbol
_atom_site_fract_x
_atom_site_fract_y
_atom_site_fract_z
Y1 Y 0.2494 0.2500 0.2548
Mg1 Mg 0.2499 0.7500 0.4762
Mg2 Mg 0.2507 0.2500 0.8634
Hg1 Hg 0.2494 0.7500 0.0476
Hg2 Hg 0.2505 0.2500 0.6514
# DOS(E_F), states/eV per atom: 0.46
# E_form, eV per atom: -0.3043
# Crystal system: monoclinic
# Polymorph energy (0 for the lowest one), eV/f.u.: 0.000

***

Record 12
# Y2MgHg2, relaxed, DFT PBE
data_Y2MgHg2
_chemical_formula_sum 'Y4 Mg2 Hg4'
_space_group_name_H-M_alt 'P 4/m b m'
_space_group_IT_number 127
_space_group_name_Hall '-P 4 2ab'
_cell_length_a 8.5692
_cell_length_b 8.5692
_cell_length_c 3.7194
_cell_angle_alpha 90.00
_cell_angle_beta 90.00
_cell_angle_gamma 90.00
loop_
_atom_site_label
_atom_site_type_symbol
_atom_site_fract_x
_atom_site_fract_y
_atom_site_fract_z
Y1 Y 0.1514 0.3486 0.0000
Mg1 Mg 0.0000 0.0000 0.0000
Hg1 Hg 0.1462 0.6462 0.5000
# DOS(E_F), states/eV per atom: 0.94
# E_form, eV per atom: -0.2060
# Crystal system: tetragonal
# Polymorph energy (0 for the lowest one), eV/f.u.: 1.092